# 1
DFT (PBE) results for an optimized crystal structure of CuTe2Pt.

CIF file:
```
data_CuTe2Pt
_space_group_name_H-M_alt 'P m m m'
_space_group_IT_number 47
_cell_length_a 3.886
_cell_length_b 3.900
_cell_length_c 5.679
_cell_angle_alpha 90.00
_cell_angle_beta 90.00
_cell_angle_gamma 90.00
loop_
_space_group_symop_operation_xyz
'x,y,z'
'-x,-y,-z'
'-x,-y,z'
'x,y,-z'
'x,-y,-z'
'-x,y,z'
'-x,y,-z'
'x,-y,z'
loop_
_atom_site_label
_atom_site_fract_x
_atom_site_fract_y
_atom_site_fract_z
Cu1 0.000 0.000 0.000
Te1 0.500 0.000 0.500
Te2 0.500 0.500 0.000
Pt1 0.000 0.500 0.500
```

Output
The excess energy over the best structure of this formula in the dataset comes out at 433 meV per atom. As for the density of states at the Fermi level: 2.7 states/eV/f.u. The uncorrected formation energy comes out at 1.13 eV/f.u.

***

# 2
DFT (PBE) results for an optimized crystal structure of Cu4TePt.

CIF file:
```
data_Cu4TePt
_space_group_name_H-M_alt 'F -4 3 m'
_space_group_IT_number 216
_space_group_name_Hall 'F -4 2 3'
_cell_length_a 7.042
_cell_length_b 7.042
_cell_length_c 7.042
_cell_angle_alpha 90.00
_cell_angle_beta 90.00
_cell_angle_gamma 90.00
loop_
_atom_site_label
_atom_site_fract_x
_atom_site_fract_y
_atom_site_fract_z
Cu1 0.124 0.124 0.124
Te1 0.000 0.000 0.500
Pt1 0.250 0.250 0.750
```

Output
As for the density of states at the Fermi level: 2.5 states/eV/f.u. The uncorrected formation energy comes out at 0.48 eV/f.u.

***

# 3
DFT (PBE) results for an optimized crystal structure of CuTePt2.

CIF file:
```
data_CuTePt2
_space_group_name_H-M_alt 'C 1 2/m 1'
_space_group_IT_number 12
_cell_length_a 8.684
_cell_length_b 3.647
_cell_length_c 4.498
_cell_angle_alpha 90.00
_cell_angle_beta 106.06
_cell_angle_gamma 90.00
loop_
_space_group_symop_operation_xyz
'x,y,z'
'-x,-y,-z'
'-x,y,-z'
'x,-y,z'
'x+1/2,y+1/2,z'
'-x+1/2,-y+1/2,-z'
'-x+1/2,y+1/2,-z'
'x+1/2,-y+1/2,z'
loop_
_atom_site_label
_atom_site_fract_x
_atom_site_fract_y
_atom_site_fract_z
Cu1 0.000 0.000 0.000
Te1 0.000 0.500 0.500
Pt1 0.247 0.000 0.759
```

Output
As for the density of states at the Fermi level: 2.2 states/eV/f.u. The uncorrected formation energy comes out at 0.04 eV/f.u.

***

What are the magnetization values for these records? In order: 0.000 0.000 0.000 μB per formula unit.